Below is a relaxed SmZn2Au3 crystal, with properties calculated at the PBE level.

Cell lengths 4.571, 4.571, 12.952 Å; angles 90.00, 90.00, 120.00 degrees
Fractional positions:
Sm 0.000 0.000 0.250
Sm 0.000 0.000 0.750
Zn 0.333 0.667 0.084
Zn 0.333 0.667 0.416
Zn 0.667 0.333 0.584
Zn 0.667 0.333 0.916
Au 0.000 0.000 0.000
Au 0.000 0.000 0.500
Au 0.333 0.667 0.628
Au 0.333 0.667 0.872
Au 0.667 0.333 0.128
Au 0.667 0.333 0.372

Computed properties:
total energy	-40.3	eV per cell
energy of formation	-0.51	eV per atom
SG	No. 194
magnetic moment	0.00	μB/atom

=====

Below is a relaxed Sm3Zn3Au crystal, with properties calculated at the PBE level.

Cell lengths 3.668, 4.525, 19.858 Å; angles 90.00, 90.00, 90.00 degrees
Fractional positions:
Sm 0.000 0.000 0.000
Sm 0.000 0.000 0.384
Sm 0.000 0.500 0.195
Sm 0.500 0.000 0.695
Sm 0.500 0.500 0.500
Sm 0.500 0.500 0.884
Zn 0.000 0.000 0.555
Zn 0.000 0.000 0.835
Zn 0.000 0.500 0.624
Zn 0.500 0.000 0.124
Zn 0.500 0.500 0.055
Zn 0.500 0.500 0.335
Au 0.000 0.500 0.757
Au 0.500 0.000 0.257

Computed properties:
total energy	-48.6	eV per cell
energy of formation	-0.43	eV per atom
SG	No. 44
magnetic moment	0.00	μB/atom

=====

Below is a relaxed Sm6Zn5Au crystal, with properties calculated at the PBE level.

Cell lengths 8.167, 8.167, 7.281 Å; angles 90.00, 90.00, 143.21 degrees
Fractional positions:
Sm 0.000 0.000 0.248
Sm 0.000 0.000 0.752
Sm 0.333 0.667 0.246
Sm 0.333 0.667 0.754
Sm 0.667 0.333 0.246
Sm 0.667 0.333 0.754
Zn 0.169 0.831 0.000
Zn 0.173 0.827 0.500
Zn 0.500 0.500 0.000
Zn 0.827 0.173 0.500
Zn 0.831 0.169 0.000
Au 0.500 0.500 0.500

Computed properties:
total energy	-42.7	eV per cell
energy of formation	-0.40	eV per atom
SG	No. 65
magnetic moment	0.00	μB/atom

=====

Below is a relaxed Sm2Zn3Au9 crystal, with properties calculated at the PBE level.

Cell lengths 7.968, 7.968, 10.876 Å; angles 111.11, 111.11, 59.89 degrees
Fractional positions:
Sm 0.084 0.250 0.250
Sm 0.250 0.084 0.750
Sm 0.750 0.916 0.250
Sm 0.916 0.750 0.750
Zn 0.000 0.500 0.000
Zn 0.147 0.678 0.502
Zn 0.322 0.853 0.998
Zn 0.500 0.000 0.500
Zn 0.678 0.147 0.002
Zn 0.853 0.322 0.498
Au 0.028 0.852 0.071
Au 0.148 0.972 0.429
Au 0.196 0.356 0.570
Au 0.198 0.584 0.253
Au 0.306 0.476 0.925
Au 0.356 0.196 0.070
Au 0.360 0.640 0.750
Au 0.416 0.802 0.247
Au 0.476 0.306 0.425
Au 0.524 0.694 0.575
Au 0.584 0.198 0.753
Au 0.640 0.360 0.250
Au 0.644 0.804 0.930
Au 0.694 0.524 0.075
Au 0.802 0.416 0.747
Au 0.804 0.644 0.430
Au 0.852 0.028 0.571
Au 0.972 0.148 0.929

Computed properties:
total energy	-99.3	eV per cell
energy of formation	-0.49	eV per atom
SG	No. 15
magnetic moment	0.00	μB/atom